Entry 1:
Material: Li2Cd5Au4
Method: DFT, PBE
State: optimized geometry

Cell lengths 5.748, 6.244, 7.642 Å; angles 76.81, 67.91, 62.59 degrees
Positions (direct):
Au  0.746  0.634  0.875
Li  0.270  0.667  0.793
Au  0.254  0.366  0.125
Au  0.256  0.995  0.492
Cd  0.000  0.500  0.500
Li  0.730  0.333  0.207
Cd  0.244  0.831  0.177
Cd  0.747  0.831  0.177
Au  0.744  0.005  0.508
Cd  0.756  0.169  0.823
Cd  0.253  0.169  0.823

Output
Total DFT energy (no corrections) = -2.179 eV/atom
Energy of formation = -0.223 eV/atom

---

Entry 2:
Material: LiCd2Au
Method: DFT, PBE
State: optimized geometry

Cell lengths 3.364, 3.364, 6.642 Å; angles 90.00, 90.00, 90.00 degrees
Positions (direct):
Cd  0.500  0.500  0.276
Au  0.500  0.500  0.716
Cd  0.000  0.000  0.982
Li  0.000  0.000  0.526

Output
Total DFT energy (no corrections) = -2.035 eV/atom
Energy of formation = -0.280 eV/atom
Polymorph energy (0 for the lowest one) = 58 meV per atom

---

Entry 3:
Material: Li2CdAu
Method: DFT, PBE
State: optimized geometry

Cell lengths 2.941, 4.046, 5.866 Å; angles 90.00, 90.00, 90.00 degrees
Positions (direct):
Li  0.000  0.000  0.004
Au  0.000  0.000  0.468
Li  0.500  0.500  0.270
Cd  0.500  0.500  0.758

Output
Total DFT energy (no corrections) = -2.342 eV/atom
Energy of formation = -0.337 eV/atom
Polymorph energy (0 for the lowest one) = 86 meV per atom

---

Entry 4:
Material: LiCd2Au4
Method: DFT, PBE
State: optimized geometry

Cell lengths 4.103, 5.228, 7.708 Å; angles 96.49, 57.91, 113.46 degrees
Positions (direct):
Li  0.000  0.500  0.000
Cd  0.441  0.220  0.418
Au  0.707  0.361  0.724
Au  0.852  0.927  0.861
Au  0.148  0.073  0.139
Au  0.293  0.639  0.276
Cd  0.559  0.780  0.582

Output
Total DFT energy (no corrections) = -2.686 eV/atom
Energy of formation = -0.278 eV/atom
Polymorph energy (0 for the lowest one) = 0 meV per atom

---

Entry 5:
Material: LiCd2Au3
Method: DFT, PBE
State: optimized geometry

Cell lengths 4.579, 7.223, 6.926 Å; angles 90.00, 90.00, 72.75 degrees
Positions (direct):
Cd  0.000  0.000  0.000
Cd  0.672  0.665  0.500
Au  0.819  0.353  0.779
Au  0.500  0.000  0.244
Li  0.664  0.680  0.000
Au  0.500  0.000  0.756
Au  0.819  0.353  0.221
Au  0.181  0.647  0.221
Li  0.336  0.320  0.000
Cd  0.328  0.335  0.500
Cd  0.000  0.000  0.500
Au  0.181  0.647  0.779

Output
Total DFT energy (no corrections) = -2.570 eV/atom
Energy of formation = -0.307 eV/atom
Polymorph energy (0 for the lowest one) = 0 meV per atom

---

Entry 6:
Material: Li11Cd4Au9
Method: DFT, PBE
State: optimized geometry

Cell lengths 3.018, 11.826, 11.826 Å; angles 108.92, 90.00, 90.00 degrees
Positions (direct):
Cd  0.500  0.406  0.245
Cd  0.500  0.594  0.755
Li  0.000  0.963  0.596
Au  0.500  0.390  0.839
Au  0.500  0.839  0.390
Li  0.000  0.632  0.368
Cd  0.500  0.755  0.594
Li  0.000  0.037  0.404
Li  0.000  0.404  0.037
Au  0.500  0.795  0.992
Au  0.500  0.008  0.205
Au  0.500  0.500  0.500
Au  0.500  0.992  0.795
Au  0.500  0.161  0.610
Cd  0.500  0.245  0.406
Au  0.500  0.205  0.008
Li  0.000  0.810  0.190
Li  0.000  0.596  0.963
Li  0.000  0.190  0.810
Au  0.500  0.610  0.161
Li  0.000  0.810  0.810
Li  0.000  0.368  0.632
Li  0.000  0.190  0.190
Li  0.000  0.000  0.000

Output
Total DFT energy (no corrections) = -2.698 eV/atom
Energy of formation = -0.439 eV/atom

---

Entry 7:
Material: Li2Cd6Au
Method: DFT, PBE
State: optimized geometry

Cell lengths 4.462, 5.090, 8.981 Å; angles 102.30, 90.00, 116.00 degrees
Positions (direct):
Cd  0.996  0.992  0.176
Cd  0.666  0.332  0.394
Cd  0.667  0.334  0.058
Cd  0.334  0.668  0.606
Li  0.338  0.676  0.287
Cd  0.004  0.008  0.824
Cd  0.333  0.666  0.942
Li  0.662  0.324  0.713
Au  0.000  0.000  0.500

Output
Total DFT energy (no corrections) = -1.611 eV/atom
Energy of formation = -0.211 eV/atom
Polymorph energy (0 for the lowest one) = 0 meV per atom

---

Entry 8:
Material: Li2CdAu
Method: DFT, PBE
State: optimized geometry

Cell lengths 4.519, 4.519, 4.519 Å; angles 60.00, 60.00, 60.00 degrees
Positions (direct):
Li  0.250  0.250  0.250
Cd  0.000  0.000  0.000
Li  0.750  0.750  0.750
Au  0.500  0.500  0.500

Output
Total DFT energy (no corrections) = -2.426 eV/atom
Energy of formation = -0.421 eV/atom
Polymorph energy (0 for the lowest one) = 1 meV per atom

---

Copy entry 6 word for word.
Material: Li11Cd4Au9
Method: DFT, PBE
State: optimized geometry

Cell lengths 3.018, 11.826, 11.826 Å; angles 108.92, 90.00, 90.00 degrees
Positions (direct):
Cd  0.500  0.406  0.245
Cd  0.500  0.594  0.755
Li  0.000  0.963  0.596
Au  0.500  0.390  0.839
Au  0.500  0.839  0.390
Li  0.000  0.632  0.368
Cd  0.500  0.755  0.594
Li  0.000  0.037  0.404
Li  0.000  0.404  0.037
Au  0.500  0.795  0.992
Au  0.500  0.008  0.205
Au  0.500  0.500  0.500
Au  0.500  0.992  0.795
Au  0.500  0.161  0.610
Cd  0.500  0.245  0.406
Au  0.500  0.205  0.008
Li  0.000  0.810  0.190
Li  0.000  0.596  0.963
Li  0.000  0.190  0.810
Au  0.500  0.610  0.161
Li  0.000  0.810  0.810
Li  0.000  0.368  0.632
Li  0.000  0.190  0.190
Li  0.000  0.000  0.000

Output
Total DFT energy (no corrections) = -2.698 eV/atom
Energy of formation = -0.439 eV/atom